! ScBi3Cl | the Alexandria database | PBE | relaxed; values from VASP
&SYSTEM
  ibrav = 0, nat = 5, ntyp = 3
/
ATOMIC_SPECIES
Sc 44.96 Sc.upf
Bi 208.98 Bi.upf
Cl 35.45 Cl.upf
CELL_PARAMETERS angstrom
5.440 0.000 0.000
0.000 5.440 0.000
0.000 0.000 5.440
ATOMIC_POSITIONS angstrom
Sc 0.000 0.000 0.000
Bi 0.000 2.720 2.720
Bi 2.720 0.000 2.720
Bi 2.720 2.720 0.000
Cl 2.720 2.720 2.720
! Crystal system = cubic
! E_tot = -3.582 eV/atom
! SG = No. 221
! Energy above the most stable polymorph in this dataset = 0.359 eV per atom
! V = 161.0 Å³ per cell

---

! LaAl2Ag2Au | the Alexandria database | PBE | relaxed; values from VASP
&SYSTEM
  ibrav = 0, nat = 6, ntyp = 4
/
ATOMIC_SPECIES
La 138.91 La.upf
Al 26.98 Al.upf
Ag 107.87 Ag.upf
Au 196.97 Au.upf
CELL_PARAMETERS angstrom
4.850 0.000 0.000
0.000 4.850 0.000
0.000 0.000 5.988
ATOMIC_POSITIONS angstrom
La 0.000 0.000 0.000
Al 0.000 2.425 2.994
Al 2.425 0.000 2.994
Ag 2.425 2.425 1.408
Ag 2.425 2.425 4.580
Au 0.000 0.000 2.994
! Crystal system = tetragonal
! E_tot = -3.726 eV/atom
! Calculated formation energy = -0.160 eV/atom
! SG = No. 123
! V = 140.8 Å³ per cell

---

! RbNaV3 | the Alexandria database | PBE | relaxed; values from VASP
&SYSTEM
  ibrav = 0, nat = 5, ntyp = 3
/
ATOMIC_SPECIES
Rb 85.47 Rb.upf
Na 22.99 Na.upf
V 50.94 V.upf
CELL_PARAMETERS angstrom
4.642 0.000 0.000
0.000 4.642 0.000
0.000 0.000 4.642
ATOMIC_POSITIONS angstrom
Rb 0.000 0.000 0.000
Na 2.321 2.321 2.321
V 0.000 0.000 2.321
V 0.000 2.321 0.000
V 2.321 0.000 0.000
! Crystal system = cubic
! E_tot = -3.247 eV/atom
! Calculated formation energy = 2.682 eV/atom
! SG = No. 221
! Energy above the most stable polymorph in this dataset = 0.640 eV per atom
! V = 100.0 Å³ per cell

---

! U2GaSb4 | the Alexandria database | PBE | relaxed; values from VASP
&SYSTEM
  ibrav = 0, nat = 7, ntyp = 3
/
ATOMIC_SPECIES
U 238.03 U.upf
Ga 69.72 Ga.upf
Sb 121.76 Sb.upf
CELL_PARAMETERS angstrom
4.399 0.000 0.000
0.000 4.399 0.000
0.000 0.000 9.520
ATOMIC_POSITIONS angstrom
U 0.000 2.199 2.351
U 2.199 0.000 7.168
Ga 2.199 2.199 0.000
Sb 0.000 0.000 4.760
Sb 0.000 2.199 7.863
Sb 2.199 0.000 1.657
Sb 2.199 2.199 4.760
! Crystal system = tetragonal
! E_tot = -6.160 eV/atom
! SG = No. 115
! V = 184.2 Å³ per cell

---

! Cu2PdAu9 | the Alexandria database | PBE | relaxed; values from VASP
&SYSTEM
  ibrav = 0, nat = 12, ntyp = 3
/
ATOMIC_SPECIES
Cu 63.55 Cu.upf
Pd 106.42 Pd.upf
Au 196.97 Au.upf
CELL_PARAMETERS angstrom
4.148 0.000 0.000
0.000 4.148 0.000
0.000 0.000 11.819
ATOMIC_POSITIONS angstrom
Cu 0.000 0.000 1.960
Cu 0.000 0.000 9.859
Pd 0.000 0.000 5.910
Au 0.000 2.074 0.000
Au 0.000 2.074 3.887
Au 0.000 2.074 7.932
Au 2.074 0.000 0.000
Au 2.074 0.000 3.887
Au 2.074 0.000 7.932
Au 2.074 2.074 1.944
Au 2.074 2.074 5.910
Au 2.074 2.074 9.875
! Crystal system = tetragonal
! E_tot = -3.603 eV/atom
! Calculated formation energy = -0.029 eV/atom
! SG = No. 123
! V = 203.4 Å³ per cell

---

! NaCu3Ir | the Alexandria database | PBE | relaxed; values from VASP
&SYSTEM
  ibrav = 0, nat = 5, ntyp = 3
/
ATOMIC_SPECIES
Na 22.99 Na.upf
Cu 63.55 Cu.upf
Ir 192.22 Ir.upf
CELL_PARAMETERS angstrom
4.730 0.000 0.000
0.000 4.730 0.000
0.000 0.000 4.730
ATOMIC_POSITIONS angstrom
Na 0.000 0.000 0.000
Cu 0.000 2.365 2.365
Cu 2.365 0.000 2.365
Cu 2.365 2.365 0.000
Ir 2.365 2.365 2.365
! Crystal system = cubic
! E_tot = -3.777 eV/atom
! Calculated formation energy = 0.717 eV/atom
! SG = No. 221
! Energy above the most stable polymorph in this dataset = 0.000 eV per atom
! V = 105.8 Å³ per cell

---

! CaCeTh | the Alexandria database | PBE | relaxed; values from VASP
&SYSTEM
  ibrav = 0, nat = 3, ntyp = 3
/
ATOMIC_SPECIES
Ca 40.08 Ca.upf
Ce 140.12 Ce.upf
Th 232.04 Th.upf
CELL_PARAMETERS angstrom
3.579 0.000 0.000
-1.790 3.100 0.000
0.000 0.000 9.090
ATOMIC_POSITIONS angstrom
Ca 0.000 0.000 0.000
Ce 0.000 2.066 5.881
Th 1.790 1.033 3.109
! Crystal system = trigonal
! E_tot = -4.957 eV/atom
! Calculated formation energy = 0.161 eV/atom
! SG = No. 156
! Energy above the most stable polymorph in this dataset = 0.000 eV per atom
! V = 100.8 Å³ per cell